This record from Alexandria describes a geometry-optimized SbPd2Au4 structure. The functional is PBE.

## Properties
**Formation energy (no corrections)**: 507.0 meV per atom
**Magnetic moment**: 0.00 μB/f.u.
**Energy relative to the lowest polymorph listed for this composition**: 468 meV per atom
**Volume**: 24.8 Å³ per atom

Cell lengths 5.111, 5.111, 7.555 Å; angles 70.23, 70.23, 90.00 degrees
Fractional coordinates of all 7 atoms:
Sb 0.000 0.000 0.000
Au 0.799 0.799 0.401
Au 0.201 0.201 0.599
Au 0.000 0.500 0.000
Au 0.500 0.000 0.000
Pd 0.601 0.601 0.799
Pd 0.399 0.399 0.201